# PBE PmInIr, relaxed
data_PmInIr
_chemical_formula_sum 'Pm16 In16 Ir16'
_cell_length_a 9.612
_cell_length_b 10.138
_cell_length_c 13.483
_cell_angle_alpha 90.00
_cell_angle_beta 90.00
_cell_angle_gamma 90.00
_symmetry_space_group_name_H-M 'F d d d'
_symmetry_Int_Tables_number 70
loop_
_symmetry_equiv_pos_as_xyz
'x,y,z'
'-x,-y,-z'
'-x+1/4,-y+1/4,z'
'x+1/4,y+1/4,-z'
'x,-y+1/4,-z+1/4'
'-x,y+1/4,z+1/4'
'-x+1/4,y,-z+1/4'
'x+1/4,-y,z+1/4'
'x,y+1/2,z+1/2'
'-x,-y+1/2,-z+1/2'
'-x+1/4,-y+3/4,z+1/2'
'x+1/4,y+3/4,-z+1/2'
'x,-y+3/4,-z+3/4'
'-x,y+3/4,z+3/4'
'-x+1/4,y+1/2,-z+3/4'
'x+1/4,-y+1/2,z+3/4'
'x+1/2,y,z+1/2'
'-x+1/2,-y,-z+1/2'
'-x+3/4,-y+1/4,z+1/2'
'x+3/4,y+1/4,-z+1/2'
'x+1/2,-y+1/4,-z+3/4'
'-x+1/2,y+1/4,z+3/4'
'-x+3/4,y,-z+3/4'
'x+3/4,-y,z+3/4'
'x+1/2,y+1/2,z'
'-x+1/2,-y+1/2,-z'
'-x+3/4,-y+3/4,z'
'x+3/4,y+3/4,-z'
'x+1/2,-y+3/4,-z+1/4'
'-x+1/2,y+3/4,z+1/4'
'-x+3/4,y+1/2,-z+1/4'
'x+3/4,-y+1/2,z+1/4'
loop_
_atom_site_label
_atom_site_type_symbol
_atom_site_fract_x
_atom_site_fract_y
_atom_site_fract_z
_atom_site_occupancy
Pm1 Pm 0.125 0.125 0.272 1
In1 In 0.000 0.000 0.500 1
Ir1 Ir 0.125 0.339 0.125 1
# Energy relative to the lowest polymorph listed for this composition   0.282 eV/atom

=====

Here is an optimized crystal structure of Pm5InIr2 from Alexandria via LeMat-Bulk. Energies are from PBE.

CIF file:
```
data_Pm5InIr2
_chemical_formula_sum 'Pm20 In4 Ir8'
_cell_length_a 7.976
_cell_length_b 7.976
_cell_length_c 13.976
_cell_angle_alpha 90.00
_cell_angle_beta 90.00
_cell_angle_gamma 90.00
_symmetry_space_group_name_H-M 'I 4/m c m'
_symmetry_Int_Tables_number 140
_symmetry_space_group_name_Hall '-I 4 2c'
loop_
_atom_site_label
_atom_site_type_symbol
_atom_site_fract_x
_atom_site_fract_y
_atom_site_fract_z
_atom_site_occupancy
Pm1 Pm 0.000 0.000 0.000 1
Pm2 Pm 0.162 0.338 0.132 1
In1 In 0.000 0.000 0.250 1
Ir1 Ir 0.138 0.362 0.500 1
```

=====

Here is an optimized crystal structure of PmInIr4 from Alexandria via LeMat-Bulk. Energies are from PBE.

CIF file:
```
data_PmInIr4
_chemical_formula_sum 'Pm4 In4 Ir16'
_cell_length_a 7.574
_cell_length_b 7.574
_cell_length_c 7.574
_cell_angle_alpha 90.00
_cell_angle_beta 90.00
_cell_angle_gamma 90.00
_symmetry_space_group_name_H-M 'F -4 3 m'
_symmetry_Int_Tables_number 216
_symmetry_space_group_name_Hall 'F -4 2 3'
loop_
_atom_site_label
_atom_site_type_symbol
_atom_site_fract_x
_atom_site_fract_y
_atom_site_fract_z
_atom_site_occupancy
Pm1 Pm 0.000 0.000 0.000 1
In1 In 0.250 0.250 0.750 1
Ir1 Ir 0.124 0.124 0.376 1
```

=====

Here is an optimized crystal structure of Pm5In2Ir2Ru from Alexandria via LeMat-Bulk. Energies are from PBE.

CIF file:
```
data_Pm5In2Ir2Ru
_chemical_formula_sum 'Pm10 In4 Ir4 Ru2'
_cell_length_a 11.911
_cell_length_b 11.911
_cell_length_c 3.634
_cell_angle_alpha 90.00
_cell_angle_beta 90.00
_cell_angle_gamma 90.00
_symmetry_space_group_name_H-M 'P 4/m b m'
_symmetry_Int_Tables_number 127
_symmetry_space_group_name_Hall '-P 4 2ab'
loop_
_atom_site_label
_atom_site_type_symbol
_atom_site_fract_x
_atom_site_fract_y
_atom_site_fract_z
_atom_site_occupancy
Pm1 Pm 0.000 0.500 0.000 1
Pm2 Pm 0.064 0.195 0.000 1
In1 In 0.182 0.682 0.500 1
Ir1 Ir 0.138 0.362 0.500 1
Ru1 Ru 0.000 0.000 0.500 1
```

=====

| no. | E_form (eV per atom) |
| --- | --- |
| 1 | -0.3570 |
| 2 | -0.5748 |
| 3 | -0.3450 |
| 4 | -0.4427 |